No. 1
Density functional theory data (PBE-GGA) for Na2TlI5 after structural relaxation.

Cell lengths 9.0872, 9.0872, 11.4747 Å; angles 113.04, 113.04, 90.00 degrees
Closest atoms and distances in Å follow each position.
Fractional positions:
Na1 0.0000 0.0000 0.0000  6 I 3.26-3.32
Na2 0.0000 0.0000 0.5000  6 I 3.26-3.32
Na3 0.0000 0.5000 0.0000  6 I 3.27-3.33
Na4 0.5000 0.0000 0.5000  6 I 3.27-3.33
Tl1 0.3742 0.6258 0.7500  4 I 2.86-2.87
Tl2 0.6258 0.3742 0.2500  4 I 2.86-2.87
I1 0.1267 0.8733 0.2500  4 Na 3.30
I2 0.2355 0.7246 0.9475  1 Tl 2.86
I3 0.2754 0.7645 0.5525  1 Tl 2.86
I4 0.2826 0.2861 0.0740  1 Tl 2.87
I5 0.2861 0.2826 0.5740  1 Tl 2.87
I6 0.7139 0.7174 0.4260  1 Tl 2.87
I7 0.7174 0.7139 0.9260  1 Tl 2.87
I8 0.7246 0.2355 0.4475  1 Tl 2.86
I9 0.7645 0.2754 0.0525  1 Tl 2.86
I10 0.8733 0.1267 0.7500  4 Na 3.30



No. 2
Density functional theory data (PBE-GGA) for Na2TlI3 after structural relaxation.

Cell lengths 9.4481, 9.4481, 7.4633 Å; angles 90.00, 90.00, 114.99 degrees
Closest atoms and distances in Å follow each position.
Fractional positions:
Na1 0.1844 0.1844 0.0000  4 I 3.03-3.12
Na2 0.1844 0.1844 0.5000  4 I 3.03-3.12
Na3 0.8156 0.8156 0.0000  4 I 3.03-3.12
Na4 0.8156 0.8156 0.5000  4 I 3.03-3.12
Tl1 0.2430 0.7570 0.7500  2 I 3.32
Tl2 0.7570 0.2430 0.2500  2 I 3.32
I1 0.1040 0.8960 0.2500  4 Na 3.12
I2 0.1445 0.4170 0.2500  2 Na 3.03, 1 Tl 3.32
I3 0.4170 0.1445 0.7500  2 Na 3.03, 1 Tl 3.32
I4 0.5830 0.8555 0.2500  2 Na 3.03, 1 Tl 3.32
I5 0.8555 0.5830 0.7500  2 Na 3.03, 1 Tl 3.32
I6 0.8960 0.1040 0.7500  4 Na 3.12

Computed properties:
The energy above the most stable polymorph in this dataset is 114 meV/atom. As for the density of states at the Fermi level: 0.000 states/eV/atom.



No. 3
Density functional theory data (PBE-GGA) for NaTl2I4 after structural relaxation.

Cell lengths 8.2285, 8.2285, 4.9277 Å; angles 90.00, 90.00, 90.00 degrees
Closest atoms and distances in Å follow each position.
Fractional positions:
Na1 0.0000 0.0000 0.0000  4 I 3.09
Tl1 0.0000 0.5000 0.5000  4 I 3.21
Tl2 0.5000 0.0000 0.5000  4 I 3.21
I1 0.2484 0.2484 0.2244  1 Na 3.09, 2 Tl 3.21
I2 0.2484 0.7516 0.7756  1 Na 3.09, 2 Tl 3.21
I3 0.7516 0.2484 0.7756  1 Na 3.09, 2 Tl 3.21
I4 0.7516 0.7516 0.2244  1 Na 3.09, 2 Tl 3.21

Computed properties:
The energy above the most stable polymorph in this dataset is 0 meV/atom. As for the density of states at the Fermi level: 0.458 states/eV/atom.



No. 4
Density functional theory data (PBE-GGA) for Na2TlI2 after structural relaxation.

Cell lengths 8.2449, 8.2449, 8.2449 Å; angles 142.37, 142.37, 54.26 degrees
Closest atoms and distances in Å follow each position.
Fractional positions:
Na1 0.2500 0.7500 0.5000  4 I 3.11
Na2 0.7500 0.2500 0.5000  4 I 3.11
Tl1 0.0000 0.0000 0.0000  8 I 4.28, 8 Na 4.53
I1 0.3606 0.3606 0.0000  4 Na 3.11
I2 0.6394 0.6394 0.0000  4 Na 3.11

Computed properties:
The energy above the most stable polymorph in this dataset is 102 meV/atom. As for the density of states at the Fermi level: 0.221 states/eV/atom.



No. 5
Density functional theory data (PBE-GGA) for Na3Tl2I5 after structural relaxation.

Cell lengths 8.7914, 8.7914, 12.1530 Å; angles 124.05, 124.05, 31.00 degrees
Closest atoms and distances in Å follow each position.
Fractional positions:
Na1 0.0000 0.0000 0.0000  6 I 3.23-3.32
Na2 0.3855 0.3855 0.6251  5 I 3.08-3.32
Na3 0.6145 0.6145 0.3749  5 I 3.08-3.32
Tl1 0.1698 0.1698 0.7691  7 I 3.57-3.71
Tl2 0.8302 0.8302 0.2309  7 I 3.57-3.71
I1 0.1961 0.1961 0.3037  4 Na 3.09-3.32
I2 0.4048 0.4048 0.0826  3 Na 3.25-3.32, 3 Tl 3.57-3.61
I3 0.5000 0.5000 0.5000  2 Na 3.08
I4 0.5952 0.5952 0.9174  3 Na 3.25-3.32, 3 Tl 3.57-3.61
I5 0.8039 0.8039 0.6963  4 Na 3.09-3.32

Computed properties:
As for the density of states at the Fermi level: 0.000 states/eV/atom.



No. 6
Density functional theory data (PBE-GGA) for NaTlI4 after structural relaxation.

Cell lengths 7.5896, 7.5896, 10.5178 Å; angles 90.00, 90.00, 91.43 degrees
Closest atoms and distances in Å follow each position.
Fractional positions:
Na1 0.1823 0.8177 0.7500  4 I 3.12-3.21
Na2 0.8177 0.1823 0.2500  4 I 3.12-3.21
Tl1 0.3556 0.3556 0.0000  4 I 2.84-2.85
Tl2 0.6444 0.6444 0.5000  4 I 2.84-2.85
I1 0.1770 0.2394 0.7760  1 Tl 2.85
I2 0.2394 0.1770 0.2240  1 Tl 2.85
I3 0.2805 0.7121 0.4729  1 Tl 2.84, 1 Na 3.12
I4 0.2879 0.7195 0.0271  1 Tl 2.84, 1 Na 3.12
I5 0.7121 0.2805 0.5271  1 Tl 2.84, 1 Na 3.12
I6 0.7195 0.2879 0.9729  1 Tl 2.84, 1 Na 3.12
I7 0.7606 0.8230 0.7240  1 Tl 2.85
I8 0.8230 0.7606 0.2760  1 Tl 2.85

Computed properties:
As for the density of states at the Fermi level: 0.000 states/eV/atom.



No. 7
Density functional theory data (PBE-GGA) for Na5Tl3I12 after structural relaxation.

Cell lengths 16.8420, 16.8420, 16.8420 Å; angles 109.47, 109.47, 109.47 degrees
Closest atoms and distances in Å follow each position.
Fractional positions:
Na1 0.0000 0.0000 0.0000  6 I 3.23
Na2 0.0000 0.0000 0.5000  6 I 3.23
Na3 0.0000 0.5000 0.0000  6 I 3.23
Na4 0.0000 0.5000 0.5000  6 I 3.23
Na5 0.1250 0.7500 0.8750  4 I 3.07
Na6 0.1250 0.8750 0.2500  4 I 3.07
Na7 0.2500 0.1250 0.8750  4 I 3.07
Na8 0.2500 0.6250 0.3750  4 I 3.07
Na9 0.3750 0.2500 0.6250  4 I 3.07
Na10 0.3750 0.6250 0.7500  4 I 3.07
Na11 0.5000 0.0000 0.0000  6 I 3.23
Na12 0.5000 0.0000 0.5000  6 I 3.23
Na13 0.5000 0.5000 0.0000  6 I 3.23
Na14 0.5000 0.5000 0.5000  6 I 3.23
Na15 0.6250 0.3750 0.2500  4 I 3.07
Na16 0.6250 0.7500 0.3750  4 I 3.07
Na17 0.7500 0.3750 0.6250  4 I 3.07
Na18 0.7500 0.8750 0.1250  4 I 3.07
Na19 0.8750 0.1250 0.7500  4 I 3.07
Na20 0.8750 0.2500 0.1250  4 I 3.07
Tl1 0.1250 0.2500 0.3750  4 I 3.47
Tl2 0.1250 0.3750 0.7500  4 I 3.47
Tl3 0.2500 0.3750 0.1250  4 I 3.47
Tl4 0.2500 0.8750 0.6250  4 I 3.47
Tl5 0.3750 0.1250 0.2500  4 I 3.47
Tl6 0.3750 0.7500 0.1250  4 I 3.47
Tl7 0.6250 0.2500 0.8750  4 I 3.47
Tl8 0.6250 0.8750 0.7500  4 I 3.47
Tl9 0.7500 0.1250 0.3750  4 I 3.47
Tl10 0.7500 0.6250 0.8750  4 I 3.47
Tl11 0.8750 0.6250 0.2500  4 I 3.47
Tl12 0.8750 0.7500 0.6250  4 I 3.47
I1 0.0359 0.2183 0.0996  2 Na 3.07-3.23
I2 0.0359 0.3176 0.9363  2 Na 3.07-3.23
I3 0.0637 0.5996 0.3814  2 Na 3.07-3.23
I4 0.0637 0.9641 0.6824  2 Na 3.07-3.23
I5 0.0996 0.0359 0.2183  2 Na 3.07-3.23
I6 0.0996 0.5637 0.8814  2 Na 3.07-3.23
I7 0.1186 0.7183 0.6824  2 Na 3.07-3.23
I8 0.1186 0.9004 0.4363  2 Na 3.07-3.23
I9 0.1824 0.2183 0.6186  2 Na 3.07-3.23
I10 0.1824 0.4641 0.5637  2 Na 3.07-3.23
I11 0.2183 0.0996 0.0359  2 Na 3.07-3.23
I12 0.2183 0.6186 0.1824  2 Na 3.07-3.23
I13 0.2817 0.3176 0.8814  2 Na 3.07-3.23
I14 0.2817 0.4641 0.4004  2 Na 3.07-3.23
I15 0.3176 0.8814 0.2817  2 Na 3.07-3.23
I16 0.3176 0.9363 0.0359  2 Na 3.07-3.23
I17 0.3814 0.0637 0.5996  2 Na 3.07-3.23
I18 0.3814 0.8176 0.7817  2 Na 3.07-3.23
I19 0.4004 0.2817 0.4641  2 Na 3.07-3.23
I20 0.4004 0.6186 0.9363  2 Na 3.07-3.23
I21 0.4363 0.1186 0.9004  2 Na 3.07-3.23
I22 0.4363 0.8176 0.5359  2 Na 3.07-3.23
I23 0.4641 0.4004 0.2817  2 Na 3.07-3.23
I24 0.4641 0.5637 0.1824  2 Na 3.07-3.23
I25 0.5359 0.4363 0.8176  2 Na 3.07-3.23
I26 0.5359 0.5996 0.7183  2 Na 3.07-3.23
I27 0.5637 0.1824 0.4641  2 Na 3.07-3.23
I28 0.5637 0.8814 0.0996  2 Na 3.07-3.23
I29 0.5996 0.3814 0.0637  2 Na 3.07-3.23
I30 0.5996 0.7183 0.5359  2 Na 3.07-3.23
I31 0.6186 0.1824 0.2183  2 Na 3.07-3.23
I32 0.6186 0.9363 0.4004  2 Na 3.07-3.23
I33 0.6824 0.0637 0.9641  2 Na 3.07-3.23
I34 0.6824 0.1186 0.7183  2 Na 3.07-3.23
I35 0.7183 0.5359 0.5996  2 Na 3.07-3.23
I36 0.7183 0.6824 0.1186  2 Na 3.07-3.23
I37 0.7817 0.3814 0.8176  2 Na 3.07-3.23
I38 0.7817 0.9004 0.9641  2 Na 3.07-3.23
I39 0.8176 0.5359 0.4363  2 Na 3.07-3.23
I40 0.8176 0.7817 0.3814  2 Na 3.07-3.23
I41 0.8814 0.0996 0.5637  2 Na 3.07-3.23
I42 0.8814 0.2817 0.3176  2 Na 3.07-3.23
I43 0.9004 0.4363 0.1186  2 Na 3.07-3.23
I44 0.9004 0.9641 0.7817  2 Na 3.07-3.23
I45 0.9363 0.0359 0.3176  2 Na 3.07-3.23
I46 0.9363 0.4004 0.6186  2 Na 3.07-3.23
I47 0.9641 0.6824 0.0637  2 Na 3.07-3.23
I48 0.9641 0.7817 0.9004  2 Na 3.07-3.23

Computed properties:
As for the density of states at the Fermi level: 0.692 states/eV/atom.



No. 8
Density functional theory data (PBE-GGA) for Na2TlI3 after structural relaxation.

Cell lengths 6.7970, 14.2279, 9.5388 Å; angles 90.00, 90.01, 90.00 degrees
Closest atoms and distances in Å follow each position.
Fractional positions:
Na1 0.2492 0.2414 0.3762  6 I 3.24-3.40
Na2 0.2492 0.2586 0.8762  6 I 3.24-3.40
Na3 0.2502 0.5856 0.3821  6 I 3.31-3.40
Na4 0.2502 0.9144 0.8821  6 I 3.31-3.40
Na5 0.7498 0.0856 0.1179  6 I 3.31-3.40
Na6 0.7498 0.4144 0.6179  6 I 3.31-3.40
Na7 0.7508 0.7414 0.1238  6 I 3.24-3.40
Na8 0.7508 0.7586 0.6238  6 I 3.24-3.40
Tl1 0.2507 0.5773 0.8728  6 I 3.41-3.54
Tl2 0.2507 0.9227 0.3728  6 I 3.41-3.54
Tl3 0.7493 0.0773 0.6272  6 I 3.41-3.54
Tl4 0.7493 0.4227 0.1272  6 I 3.41-3.54
I1 0.2489 0.0916 0.6448  3 Na 3.24-3.39, 3 Tl 3.41-3.54
I2 0.2489 0.4084 0.1448  3 Na 3.24-3.39, 3 Tl 3.41-3.54
I3 0.2497 0.0928 0.1085  5 Na 3.24-3.40, 1 Tl 3.49
I4 0.2497 0.4072 0.6085  5 Na 3.24-3.40, 1 Tl 3.49
I5 0.2508 0.7452 0.1297  4 Na 3.31-3.40, 2 Tl 3.42-3.43
I6 0.2508 0.7548 0.6297  4 Na 3.31-3.40, 2 Tl 3.42-3.43
I7 0.7492 0.2452 0.3703  4 Na 3.31-3.40, 2 Tl 3.42-3.43
I8 0.7492 0.2548 0.8703  4 Na 3.31-3.40, 2 Tl 3.42-3.43
I9 0.7503 0.5928 0.3915  5 Na 3.24-3.40, 1 Tl 3.49
I10 0.7503 0.9072 0.8915  5 Na 3.24-3.40, 1 Tl 3.49
I11 0.7511 0.5916 0.8552  3 Na 3.24-3.39, 3 Tl 3.41-3.54
I12 0.7511 0.9084 0.3552  3 Na 3.24-3.39, 3 Tl 3.41-3.54

Computed properties:
The energy above the most stable polymorph in this dataset is 0 meV/atom. As for the density of states at the Fermi level: 0.000 states/eV/atom.



No. 9
Density functional theory data (PBE-GGA) for NaTl4I5 after structural relaxation.

Cell lengths 17.7646, 17.7646, 17.7646 Å; angles 163.94, 163.94, 22.79 degrees
Closest atoms and distances in Å follow each position.
Fractional positions:
Na1 0.0000 0.0000 0.0000  6 I 3.22-3.51
Tl1 0.1980 0.1980 0.0000  6 I 3.50-3.68
Tl2 0.4022 0.4022 0.0000  6 I 3.41-3.61
Tl3 0.5978 0.5978 0.0000  6 I 3.41-3.61
Tl4 0.8020 0.8020 0.0000  6 I 3.50-3.68
I1 0.0924 0.0924 0.0000  1 Na 3.22, 4 Tl 3.51
I2 0.2986 0.2986 0.0000  6 Tl 3.50-3.61
I3 0.5000 0.5000 0.0000  2 Tl 3.41, 4 Na 3.51
I4 0.7014 0.7014 0.0000  6 Tl 3.50-3.61
I5 0.9076 0.9076 0.0000  1 Na 3.22, 4 Tl 3.51

Computed properties:
The energy above the most stable polymorph in this dataset is 2 meV/atom. As for the density of states at the Fermi level: 0.000 states/eV/atom.



Record-wise spin magnetization values, in μB per formula unit: 0.0; 0.0; 0.0; 0.9; 0.0; 0.0; 4.2; 0.0; 0.0
Record-wise E_form (uncorrected) values, in eV/atom: -0.723; -0.928; -0.629; -0.656; -0.994; -0.580; -0.632; -1.042; -0.774